Entry 1:
VASP calculation (PBE-GGA) on an optimized crystal structure of TmPuC.

Unit cell a=6.0659 b=6.0659 c=6.0659 alpha=90.00 beta=90.00 gamma=90.00
Closest atoms and distances in Å follow each position.
Positions (direct):
Tm 0.0000 0.0000 0.0000  4 C 2.63
Tm 0.0000 0.5000 0.5000  4 C 2.63
Tm 0.5000 0.0000 0.5000  4 C 2.63
Tm 0.5000 0.5000 0.0000  4 C 2.63
Pu 0.0000 0.0000 0.5000  4 C 2.63
Pu 0.0000 0.5000 0.0000  4 C 2.63
Pu 0.5000 0.0000 0.0000  4 C 2.63
Pu 0.5000 0.5000 0.5000  4 C 2.63
C 0.2500 0.2500 0.2500  4 Tm 2.63, 4 Pu 2.63
C 0.2500 0.7500 0.7500  4 Tm 2.63, 4 Pu 2.63
C 0.7500 0.2500 0.7500  4 Tm 2.63, 4 Pu 2.63
C 0.7500 0.7500 0.2500  4 Tm 2.63, 4 Pu 2.63

Output
energy above the most stable polymorph in this dataset = 398 meV/atom
space group = No. 216
total magnetization = 5.636 μB per formula unit
DOS(E_F) = 17.14 states/eV/cell

Entry 2:
VASP calculation (PBE-GGA) on an optimized crystal structure of AcTeAs.

Unit cell a=6.3791 b=6.3063 c=19.2638 alpha=90.00 beta=90.00 gamma=90.00
Closest atoms and distances in Å follow each position.
Positions (direct):
Ac 0.0134 0.2500 0.1276  5 Te 3.32-3.50, 4 As 3.48-3.57
Ac 0.0172 0.7500 0.3614  4 As 3.22-3.49, 5 Te 3.28-3.46
Ac 0.4828 0.2500 0.8614  4 As 3.22-3.49, 5 Te 3.28-3.46
Ac 0.4866 0.7500 0.6276  5 Te 3.32-3.50, 4 As 3.48-3.57
Ac 0.5134 0.2500 0.3724  5 Te 3.32-3.50, 4 As 3.48-3.57
Ac 0.5172 0.7500 0.1386  4 As 3.22-3.49, 5 Te 3.28-3.46
Ac 0.9828 0.2500 0.6386  4 As 3.22-3.49, 5 Te 3.28-3.46
Ac 0.9866 0.7500 0.8724  5 Te 3.32-3.50, 4 As 3.48-3.57
Te 0.0124 0.2500 0.3093  5 Ac 3.31-3.50
Te 0.0147 0.7500 0.1817  5 Ac 3.28-3.46
Te 0.4853 0.2500 0.6817  5 Ac 3.28-3.46
Te 0.4876 0.7500 0.8093  5 Ac 3.31-3.50
Te 0.5124 0.2500 0.1907  5 Ac 3.31-3.50
Te 0.5147 0.7500 0.3183  5 Ac 3.28-3.46
Te 0.9853 0.2500 0.8183  5 Ac 3.28-3.46
Te 0.9876 0.7500 0.6907  5 Ac 3.31-3.50
As 0.1946 0.0455 0.5027  2 As 2.55-2.58
As 0.1946 0.4545 0.5027  2 As 2.55-2.58
As 0.3054 0.5455 0.0027  2 As 2.55-2.58
As 0.3054 0.9545 0.0027  2 As 2.55-2.58
As 0.6946 0.0455 0.9973  2 As 2.55-2.58
As 0.6946 0.4545 0.9973  2 As 2.55-2.58
As 0.8054 0.5455 0.4973  2 As 2.55-2.58
As 0.8054 0.9545 0.4973  2 As 2.55-2.58

Output
energy above the most stable polymorph in this dataset = 0 meV/atom
space group = No. 62
total magnetization = 0.000 μB per formula unit

Entry 3:
VASP calculation (PBE-GGA) on an optimized crystal structure of HoZr3Rh4.

Unit cell a=8.1706 b=8.1706 c=8.1706 alpha=33.44 beta=33.44 gamma=33.44
Closest atoms and distances in Å follow each position.
Positions (direct):
Ho 0.0000 0.0000 0.0000  8 Rh 2.92-2.98
Zr 0.2495 0.2495 0.2495  8 Rh 2.79-3.01
Zr 0.5000 0.5000 0.5000  8 Rh 2.79-2.85
Zr 0.7505 0.7505 0.7505  8 Rh 2.79-3.01
Rh 0.1289 0.1289 0.1289  7 Zr 2.79-2.91, 1 Ho 2.98
Rh 0.3795 0.3795 0.3795  5 Zr 2.79-3.01, 3 Ho 2.92
Rh 0.6205 0.6205 0.6205  5 Zr 2.79-3.01, 3 Ho 2.92
Rh 0.8711 0.8711 0.8711  7 Zr 2.79-2.91, 1 Ho 2.98

Output
space group = No. 166
total DFT energy (no corrections) = -8.24 eV per atom
total magnetization = 0.000 μB per formula unit
DOS(E_F) = 7.16 states/eV/cell

Entry 4:
VASP calculation (PBE-GGA) on an optimized crystal structure of LiCaI2N.

Unit cell a=6.2164 b=6.2164 c=4.7281 alpha=90.00 beta=90.00 gamma=90.00
Closest atoms and distances in Å follow each position.
Positions (direct):
Li 0.0000 0.0000 0.0000  8 I 3.91
Ca 0.5000 0.5000 0.5000  2 N 2.36
I 0.0000 0.5000 0.5000  2 Ca 3.11
I 0.5000 0.0000 0.5000  2 Ca 3.11
N 0.5000 0.5000 0.0000  2 Ca 2.36

Output
energy above the most stable polymorph in this dataset = 0 meV/atom
space group = No. 123
total magnetization = 2.000 μB per formula unit
DOS(E_F) = 0.48 states/eV/cell

Entry 5:
VASP calculation (PBE-GGA) on an optimized crystal structure of K2NaCdPt.

Unit cell a=6.2483 b=6.2483 c=5.2594 alpha=90.00 beta=90.00 gamma=90.00
Closest atoms and distances in Å follow each position.
Positions (direct):
K 0.0000 0.5000 0.0000  2 Pt 3.12
K 0.5000 0.0000 0.0000  2 Pt 3.12
Na 0.0000 0.0000 0.5000  8 K 4.08, 4 Cd 4.42
Cd 0.5000 0.5000 0.5000  2 Pt 2.63
Pt 0.5000 0.5000 0.0000  2 Cd 2.63

Output
space group = No. 123
total DFT energy (no corrections) = -2.11 eV per atom
total magnetization = 0.000 μB per formula unit
DOS(E_F) = 1.71 states/eV/cell

Entry 6:
VASP calculation (PBE-GGA) on an optimized crystal structure of TaAgSe2Br.

Unit cell a=5.0399 b=5.0399 c=5.1895 alpha=90.00 beta=90.00 gamma=90.00
Closest atoms and distances in Å follow each position.
Positions (direct):
Ta 0.0000 0.0000 0.0000  4 Se 2.52, 2 Br 2.59
Ag 0.5000 0.5000 0.5000  4 Br 3.56, 8 Se 3.62
Se 0.0000 0.5000 0.0000  2 Ta 2.52
Se 0.5000 0.0000 0.0000  2 Ta 2.52
Br 0.0000 0.0000 0.5000  2 Ta 2.59

Output
energy above the most stable polymorph in this dataset = 0 meV/atom
space group = No. 123
total magnetization = 0.000 μB per formula unit
DOS(E_F) = 2.77 states/eV/cell